--- 1 ---
An optimized crystal structure of RbSe3N. Source: the Alexandria database, functional PBE-GGA.

Values from the calculation:
Its calculated volume is 105.3 Å³/f.u. As for the spin magnetization: 0.000 μB/cell. As for the space-group type: Pm-3m.

Cell: 4.7222 4.7222 4.7222 Å, 90.00 90.00 90.00°
Atoms (fractional coordinates):
Se 0.0000 0.5000 0.0000
N 0.0000 0.0000 0.0000
Se 0.5000 0.0000 0.0000
Rb 0.5000 0.5000 0.5000
Se 0.0000 0.0000 0.5000

--- 2 ---
An optimized crystal structure of RbSe3N. Source: the Alexandria database, functional PBE-GGA.

Values from the calculation:
Its calculated volume is 330.1 Å³/f.u. As for the spin magnetization: 8.000 μB/cell. As for the space-group type: Pm-3m.

Cell: 6.9113 6.9113 6.9113 Å, 90.00 90.00 90.00°
Site moments in Bohr magnetons follow the coordinates.
Atoms (fractional coordinates):
N 0.5000 0.5000 0.5000  1.94
Rb 0.0000 0.0000 0.0000  0.00
Se 0.0000 0.5000 0.0000  0.92
Se 0.0000 0.0000 0.5000  1.01
Se 0.5000 0.0000 0.0000  0.90

Which of them is the most stable, and which is the least stable? 1 and 2, in that order.

--- 1 ---
An optimized crystal structure of RbSrSeN2. Source: the Alexandria database, functional PBE-GGA.

Values from the calculation:
Its calculated volume is 163.8 Å³/f.u. As for the spin magnetization: 5.001 μB/cell. As for the space-group type: P4/mmm.

Cell: 5.0253 5.0253 6.4848 Å, 90.00 90.00 90.00°
Site moments in Bohr magnetons follow the coordinates.
Atoms (fractional coordinates):
N 0.5000 0.0000 0.0000  1.55
Sr 0.5000 0.5000 0.5000  -0.01
N 0.0000 0.5000 0.0000  1.55
Rb 0.0000 0.0000 0.0000  0.14
Se 0.0000 0.0000 0.5000  0.14

--- 2 ---
An optimized crystal structure of RbSrSeN2. Source: the Alexandria database, functional PBE-GGA.

Values from the calculation:
Its calculated volume is 161.6 Å³/f.u. As for the spin magnetization: 5.017 μB/cell. As for the space-group type: P4/mmm.

Cell: 5.1521 5.1521 6.0889 Å, 90.00 90.00 90.00°
Site moments in Bohr magnetons follow the coordinates.
Atoms (fractional coordinates):
N 0.5000 0.0000 0.0000  1.40
Se 0.0000 0.0000 0.5000  0.36
Sr 0.0000 0.0000 0.0000  0.02
Rb 0.5000 0.5000 0.5000  0.01
N 0.0000 0.5000 0.0000  1.40

Which of them is the most stable, and which is the least stable? 2 and 1, in that order.

--- 1 ---
An optimized crystal structure of RbTaSeN2. Source: the Alexandria database, functional PBE-GGA.

Values from the calculation:
Its calculated volume is 94.7 Å³/f.u. As for the spin magnetization: 0.000 μB/cell. As for the space-group type: P4/mmm.

Cell: 4.0705 4.0705 5.7143 Å, 90.00 90.00 90.00°
Atoms (fractional coordinates):
Se 0.0000 0.0000 0.5000
N 0.5000 0.0000 0.0000
N 0.0000 0.5000 0.0000
Rb 0.0000 0.0000 0.0000
Ta 0.5000 0.5000 0.5000

--- 2 ---
An optimized crystal structure of RbTaSeN2. Source: the Alexandria database, functional PBE-GGA.

Values from the calculation:
Its calculated volume is 94.0 Å³/f.u. As for the spin magnetization: 1.816 μB/cell. As for the space-group type: P4/mmm.

Cell: 4.2458 4.2458 5.2164 Å, 90.00 90.00 90.00°
Site moments in Bohr magnetons follow the coordinates.
Atoms (fractional coordinates):
N 0.0000 0.5000 0.0000  0.59
N 0.5000 0.0000 0.0000  0.59
Ta 0.0000 0.0000 0.0000  -0.20
Se 0.0000 0.0000 0.5000  0.22
Rb 0.5000 0.5000 0.5000  0.01

Which of them is the most stable, and which is the least stable? 2 and 1, in that order.

--- 1 ---
An optimized crystal structure of RbTcSeN2. Source: the Alexandria database, functional PBE-GGA.

Values from the calculation:
Its calculated volume is 106.5 Å³/f.u. As for the spin magnetization: 2.352 μB/cell. As for the space-group type: P4/mmm.

Cell: 4.1372 4.1372 6.2211 Å, 90.00 90.00 90.00°
Site moments in Bohr magnetons follow the coordinates.
Atoms (fractional coordinates):
N 0.0000 0.5000 0.0000  0.69
N 0.5000 0.0000 0.0000  0.69
Tc 0.5000 0.5000 0.5000  0.33
Rb 0.0000 0.0000 0.0000  0.00
Se 0.0000 0.0000 0.5000  0.07

--- 2 ---
An optimized crystal structure of RbTcSeN2. Source: the Alexandria database, functional PBE-GGA.

Values from the calculation:
Its calculated volume is 85.7 Å³/f.u. As for the spin magnetization: 0.000 μB/cell. As for the space-group type: P4/mmm.

Cell: 4.0674 4.0674 5.1806 Å, 90.00 90.00 90.00°
Atoms (fractional coordinates):
Tc 0.0000 0.0000 0.0000
Se 0.0000 0.0000 0.5000
N 0.0000 0.5000 0.0000
Rb 0.5000 0.5000 0.5000
N 0.5000 0.0000 0.0000

Which of them is the most stable, and which is the least stable? 2 and 1, in that order.